The following is a PBE calculation of a geometry-optimized ErAgSeS structure, from the Alexandria database.

The total energy comes out at -4.9842 eV/atom. As for the crystal system: trigonal.

Cell: 4.3941 4.3941 33.2726 Å, 90.00 90.00 120.00°
Space group R-3m (No. 166, hexagonal axes)
Unique sites:
Er 0.0000 0.0000 0.1126 x6
Ag 0.0000 0.0000 0.3091 x6
Se 0.0000 0.0000 0.3924 x6
S 0.0000 0.0000 0.1969 x6

The following is a PBE calculation of a geometry-optimized ZrFe3Sb structure, from the Alexandria database.

For the energy above the most stable polymorph in this dataset, the calculation gives 377 meV per atom. As for the crystal system: cubic.

Cell: 4.6633 4.6633 4.6633 Å, 90.00 90.00 90.00°
Space group Pm-3m (No. 221)
Unique sites:
Zr 0.0000 0.0000 0.0000 x1
Fe 0.0000 0.0000 0.5000 x3
Sb 0.5000 0.5000 0.5000 x1

The following is a PBE calculation of a geometry-optimized CrAgPb structure, from the Alexandria database.

As for the crystal system: cubic. The value obtained for the formation energy is 0.57 eV/atom.

Cell: 6.5107 6.5107 6.5107 Å, 90.00 90.00 90.00°
Space group F-43m (No. 216)
Unique sites:
Cr 0.0000 0.0000 0.0000 x4
Ag 0.2500 0.2500 0.2500 x4
Pb 0.2500 0.2500 0.7500 x4

The following is a PBE calculation of a geometry-optimized Nd2I5Br structure, from the Alexandria database.

The total energy comes out at -3.5693 eV/atom. As for the crystal system: orthorhombic.

Cell: 5.0054 7.9815 15.9401 Å, 90.00 90.00 90.00°
Space group Immm (No. 71)
Unique sites:
Nd 0.0000 0.0000 0.1925 x4
I 0.0000 0.0000 0.0000 x2
I 0.0000 0.2489 0.3494 x8
Br 0.0000 0.5000 0.0000 x2

The following is a PBE calculation of a geometry-optimized LiTiCu2 structure, from the Alexandria database.

As for the crystal system: tetragonal. The value obtained for the formation energy is 0.37 eV/atom.

Cell: 6.7433 6.7433 5.0797 Å, 90.00 90.00 90.00°
Space group I-42d (No. 122)
Unique sites:
Li 0.0000 0.0000 0.0000 x4
Ti 0.0000 0.0000 0.5000 x4
Cu 0.2289 0.7500 0.1250 x8

The following is a PBE calculation of a geometry-optimized Rb2ZnCd7 structure, from the Alexandria database.

As for the crystal system: tetragonal. The value obtained for the formation energy is -0.02 eV/atom.

Cell: 4.8323 4.8323 12.9493 Å, 90.00 90.00 90.00°
Space group P-4m2 (No. 115)
Unique sites:
Rb 0.0000 0.5000 0.2458 x2
Zn 0.5000 0.5000 0.0000 x1
Cd 0.0000 0.0000 0.0000 x1
Cd 0.0000 0.0000 0.5000 x1
Cd 0.0000 0.5000 0.6396 x2
Cd 0.0000 0.5000 0.8699 x2
Cd 0.5000 0.5000 0.5000 x1

The following is a PBE calculation of a geometry-optimized MnSnRhAu structure, from the Alexandria database.

As for the crystal system: cubic. The value obtained for the formation energy is -0.13 eV/atom.

Cell: 6.4773 6.4773 6.4773 Å, 90.00 90.00 90.00°
Space group F-43m (No. 216)
Unique sites:
Mn 0.0000 0.0000 0.0000 x4
Sn 0.0000 0.0000 0.5000 x4
Rh 0.2500 0.2500 0.7500 x4
Au 0.2500 0.2500 0.2500 x4

The following is a PBE calculation of a geometry-optimized ZnAs2IrSe structure, from the Alexandria database.

For the energy above the most stable polymorph in this dataset, the calculation gives 628 meV per atom. As for the crystal system: tetragonal.

Cell: 4.6330 4.6330 4.7995 Å, 90.00 90.00 90.00°
Space group P4/mmm (No. 123)
Unique sites:
Zn 0.0000 0.0000 0.0000 x1
As 0.0000 0.5000 0.0000 x2
Ir 0.5000 0.5000 0.5000 x1
Se 0.0000 0.0000 0.5000 x1

The following is a PBE calculation of a geometry-optimized AcNb2TlO8 structure, from the Alexandria database.

The total energy comes out at -7.8113 eV/atom. As for the crystal system: trigonal.

Cell: 6.0483 6.0483 7.1266 Å, 90.00 90.00 120.00°
Space group P-3m1 (No. 164)
Unique sites:
Ac 0.0000 0.0000 0.0000 x1
Nb 0.3333 0.6667 0.2184 x2
Tl 0.0000 0.0000 0.5000 x1
O 0.1572 0.3143 0.2822 x6
O 0.3333 0.6667 0.9656 x2

The following is a PBE calculation of a geometry-optimized Li2CaYAu2 structure, from the Alexandria database.

As for the crystal system: trigonal. The value obtained for the formation energy is -0.54 eV/atom.

Cell: 4.4897 4.4897 7.6336 Å, 90.00 90.00 120.00°
Space group P-3m1 (No. 164)
Unique sites:
Li 0.3333 0.6667 0.2500 x2
Ca 0.0000 0.0000 0.0000 x1
Y 0.0000 0.0000 0.5000 x1
Au 0.3333 0.6667 0.7266 x2

The following is a PBE calculation of a geometry-optimized P2PdPbS8 structure, from the Alexandria database.

The total energy comes out at -4.5443 eV/atom. As for the crystal system: trigonal.

Cell: 5.8528 5.8528 8.5622 Å, 90.00 90.00 120.00°
Space group P-3 (No. 147)
Unique sites:
P 0.3333 0.6667 0.2400 x2
Pd 0.0000 0.0000 0.0000 x1
Pb 0.0000 0.0000 0.5000 x1
S 0.0079 0.6836 0.8203 x6
S 0.3333 0.6667 0.4748 x2

The following is a PBE calculation of a geometry-optimized CaAcTb2 structure, from the Alexandria database.

For the energy above the most stable polymorph in this dataset, the calculation gives 76 meV per atom. As for the crystal system: cubic. The value obtained for the formation energy is 0.17 eV/atom.

Cell: 8.3945 8.3945 8.3945 Å, 90.00 90.00 90.00°
Space group Fm-3m (No. 225)
Unique sites:
Ca 0.0000 0.0000 0.0000 x4
Ac 0.0000 0.0000 0.5000 x4
Tb 0.2500 0.2500 0.2500 x8

The following is a PBE calculation of a geometry-optimized CsHRuSe structure, from the Alexandria database.

For the energy above the most stable polymorph in this dataset, the calculation gives 8 meV per atom. As for the crystal system: monoclinic.

Cell: 6.6871 4.3361 6.9812 Å, 90.00 109.43 90.00°
Space group Cm (No. 8)
Unique sites:
Cs 0.0000 0.0000 0.0000 x2
H 0.0577 0.5000 0.7658 x2
Ru 0.4879 0.0000 0.5180 x2
Se 0.3123 0.5000 0.4416 x2

The following is a PBE calculation of a geometry-optimized TeOsCN2 structure, from the Alexandria database.

For the energy above the most stable polymorph in this dataset, the calculation gives 1167 meV per atom. As for the crystal system: tetragonal.

Cell: 3.7622 3.7622 4.2306 Å, 90.00 90.00 90.00°
Space group P4/mmm (No. 123)
Unique sites:
Te 0.0000 0.0000 0.0000 x1
Os 0.5000 0.5000 0.0000 x1
C 0.0000 0.0000 0.5000 x1
N 0.0000 0.5000 0.5000 x2

The following is a PBE calculation of a geometry-optimized Sm4In2Hg structure, from the Alexandria database.

For the energy above the most stable polymorph in this dataset, the calculation gives 0 meV per atom. As for the crystal system: trigonal. The value obtained for the formation energy is -0.33 eV/atom.

Cell: 5.3607 5.3607 25.9170 Å, 90.00 90.00 120.00°
Space group R-3m (No. 166, hexagonal axes)
Unique sites:
Sm 0.0000 0.0000 0.1205 x6
Sm 0.0000 0.0000 0.3724 x6
In 0.0000 0.0000 0.2491 x6
Hg 0.0000 0.0000 0.5000 x3

The following is a PBE calculation of a geometry-optimized Tl2Zn structure, from the Alexandria database.

For the energy above the most stable polymorph in this dataset, the calculation gives 156 meV per atom. As for the crystal system: hexagonal. The value obtained for the formation energy is 0.23 eV/atom.

Cell: 5.5661 5.5661 3.0934 Å, 90.00 90.00 120.00°
Space group P6/mmm (No. 191)
Unique sites:
Tl 0.3333 0.6667 0.0000 x2
Zn 0.0000 0.0000 0.5000 x1

The following is a PBE calculation of a geometry-optimized Pr3B2PtRh9 structure, from the Alexandria database.

As for the crystal system: trigonal. The value obtained for the formation energy is -0.46 eV/atom.

Cell: 5.8321 5.8321 8.8921 Å, 90.00 90.00 120.00°
Space group P-3m1 (No. 164)
Unique sites:
Pr 0.0000 0.0000 0.0000 x1
Pr 0.3333 0.6667 0.6265 x2
B 0.3333 0.6667 0.1447 x2
Pt 0.0000 0.0000 0.5000 x1
Rh 0.0000 0.5000 0.0000 x3
Rh 0.1632 0.3264 0.2718 x6

The following is a PBE calculation of a geometry-optimized TaSi2BrO structure, from the Alexandria database.

The total energy comes out at -4.8871 eV/atom. As for the crystal system: tetragonal.

Cell: 4.9949 4.9949 4.8927 Å, 90.00 90.00 90.00°
Space group P4/mmm (No. 123)
Unique sites:
Ta 0.0000 0.0000 0.0000 x1
Si 0.0000 0.5000 0.0000 x2
Br 0.0000 0.0000 0.5000 x1
O 0.5000 0.5000 0.5000 x1

The following is a PBE calculation of a geometry-optimized Er5Mg12Ag3 structure, from the Alexandria database.

As for the crystal system: cubic. The value obtained for the formation energy is 0.61 eV/atom.

Cell: 17.2637 17.2637 17.2637 Å, 90.00 90.00 90.00°
Space group Ia-3d (No. 230)
Unique sites:
Er 0.0000 0.0000 0.0000 x16
Er 0.0000 0.2500 0.3750 x24
Mg 0.0101 0.0986 0.6472 x96
Ag 0.0000 0.2500 0.1250 x24

The following is a PBE calculation of a geometry-optimized LaCdSi2F structure, from the Alexandria database.

The total energy comes out at -4.0270 eV/atom. As for the crystal system: tetragonal.

Cell: 4.9778 4.9778 4.6126 Å, 90.00 90.00 90.00°
Space group P4/mmm (No. 123)
Unique sites:
La 0.0000 0.0000 0.0000 x1
Cd 0.5000 0.5000 0.5000 x1
Si 0.0000 0.5000 0.5000 x2
F 0.5000 0.5000 0.0000 x1

The following is a PBE calculation of a geometry-optimized Li2HfCd3 structure, from the Alexandria database.

As for the crystal system: tetragonal. The value obtained for the formation energy is -0.16 eV/atom.

Cell: 3.2473 3.2473 10.7734 Å, 90.00 90.00 90.00°
Space group P4/mmm (No. 123)
Unique sites:
Li 0.0000 0.0000 0.1576 x2
Hf 0.0000 0.0000 0.5000 x1
Cd 0.5000 0.5000 0.0000 x1
Cd 0.5000 0.5000 0.3100 x2

The following is a PBE calculation of a geometry-optimized Li2MnRh structure, from the Alexandria database.

For the energy above the most stable polymorph in this dataset, the calculation gives 182 meV per atom. As for the crystal system: orthorhombic. The value obtained for the formation energy is 0.13 eV/atom.

Cell: 2.7411 4.4496 9.0366 Å, 90.00 90.00 90.00°
Space group Cmmm (No. 65)
Unique sites:
Li 0.0000 0.0000 0.2390 x4
Mn 0.0000 0.5000 0.5000 x2
Rh 0.0000 0.5000 0.0000 x2